VASP calculation (PBE-GGA) on a geometry-optimized SnBiSb structure.

a b c (Å): 6.553 6.553 10.603
angles (deg): 90.00 90.00 90.00
Space group P4_12_12 (No. 92)
One atom of each set of equivalent atoms:
Sn  0.135  0.135  0.000 (multiplicity 4)
Bi  0.205  0.205  0.500 (multiplicity 4)
Sb  0.049  0.951  0.250 (multiplicity 4)

Calculated values
Energy above the most stable polymorph in this dataset, eV/f.u.: 1.08
Electronic total energy, eV/f.u.: -10.780
M_tot, μB per formula unit: 0.0
Density, Mg/m³: 6.556

VASP calculation (PBE-GGA) on a geometry-optimized BeVAg structure.

a b c (Å): 2.679 4.003 7.692
angles (deg): 90.00 93.83 90.00
Space group P2_1/m (No. 11)
One atom of each set of equivalent atoms:
Be  0.067  0.250  0.203 (multiplicity 2)
V  0.373  0.250  0.917 (multiplicity 2)
Ag  0.227  0.750  0.401 (multiplicity 2)

Calculated values
Energy above the most stable polymorph in this dataset, eV/f.u.: 0.29
DFT formation energy, eV per atom: 0.204
Electronic total energy, eV/f.u.: -15.084
M_tot, μB per formula unit: 0.0
Density, Mg/m³: 6.771

VASP calculation (PBE-GGA) on a geometry-optimized HfReTc2C structure.

a b c (Å): 4.155 4.155 4.130
angles (deg): 90.00 90.00 90.00
Space group P4/mmm (No. 123)
One atom of each set of equivalent atoms:
Hf  0.000  0.000  0.000 (multiplicity 1)
Re  0.500  0.500  0.000 (multiplicity 1)
Tc  0.000  0.500  0.500 (multiplicity 2)
C  0.500  0.500  0.500 (multiplicity 1)

Calculated values
DFT formation energy, eV per atom: -0.147
Electronic total energy, eV/f.u.: -53.091
M_tot, μB per formula unit: 0.0
Density, Mg/m³: 13.341

VASP calculation (PBE-GGA) on a geometry-optimized KBa2H6Au2 structure.

a b c (Å): 10.990 5.573 7.619
angles (deg): 90.00 121.09 90.00
Space group C2/m (No. 12)
One atom of each set of equivalent atoms:
K  0.000  0.000  0.000 (multiplicity 2)
Ba  0.207  0.000  0.706 (multiplicity 4)
H  0.081  0.246  0.345 (multiplicity 8)
H  0.211  0.500  0.867 (multiplicity 4)
Au  0.028  0.500  0.733 (multiplicity 4)

Calculated values
Electronic total energy, eV/f.u.: -35.374
M_tot, μB per formula unit: 0.0
Density, Mg/m³: 5.931